No. 1
Computed, not measured: a crystal of AgSbIr2 relaxed with PBEsol at the meta-GGA SCAN level of DFT.

Geometry as extended XYZ:
```
4
Lattice="2.8758 0.0000 0.0000 0.0000 2.8758 0.0000 0.0000 0.0000 8.3339" Properties=species:S:1:pos:R:3 pbc="T T T"
Sb 0.0000 0.0000 3.9839
Ir 0.0000 0.0000 0.1580
Ir 1.4379 1.4379 1.8502
Ag 1.4379 1.4379 6.5088
```

## Properties
**Total moment**: 0.500 μB per formula unit
**Formation energy (no corrections)**: 0.4186 eV/atom
**Total DFT energy (no corrections)**: -52.288 eV per atom
**Calculated volume**: 17.2 Å³ per atom

---

No. 2
Computed, not measured: a crystal of AgSbIr2 relaxed with PBEsol at the meta-GGA SCAN level of DFT.

Geometry as extended XYZ:
```
4
Lattice="-0.8471 -1.3398 -2.5518 -1.6975 -2.4766 0.0957 -7.8580 3.5250 -1.0104" Properties=species:S:1:pos:R:3 pbc="T T T"
Ir -7.7241 -0.2719 -2.5978
Ir -2.6785 -0.0196 -0.8688
Sb -5.2013 -0.1457 -1.7333
Ag 0.0000 0.0000 0.0000
```

## Properties
**Total moment**: 0.000 μB per formula unit
**Formation energy (no corrections)**: 0.4902 eV/atom
**Total DFT energy (no corrections)**: -52.216 eV per atom
**Calculated volume**: 16.6 Å³ per atom

---

No. 3
Computed, not measured: a crystal of Ag2SbIr relaxed with PBEsol at the meta-GGA SCAN level of DFT.

Geometry as extended XYZ:
```
4
Lattice="-0.8102 -0.2658 2.9459 2.2719 -3.9157 0.2090 4.1940 2.5070 1.3796" Properties=species:S:1:pos:R:3 pbc="T T T"
Ag 1.0896 -3.1177 2.3533
Ag 0.3722 -1.0638 0.8017
Sb 1.6919 1.1206 2.1628
Ir 3.2330 -0.7044 0.7943
```

## Properties
**Total moment**: 0.000 μB per formula unit
**Formation energy (no corrections)**: 0.3190 eV/atom
**Total DFT energy (no corrections)**: -42.455 eV per atom
**Calculated volume**: 17.6 Å³ per atom

---

No. 4
Computed, not measured: a crystal of ScAg2Ir relaxed with PBEsol at the meta-GGA SCAN level of DFT.

Geometry as extended XYZ:
```
4
Lattice="-3.6600 -1.9363 1.8730 -0.1320 -0.7499 4.4803 -2.7724 2.4553 2.6341" Properties=species:S:1:pos:R:3 pbc="T T T"
Sc -3.2822 -0.1155 4.4937
Ag -1.6411 -0.0577 2.2469
Ag -4.9233 -0.1732 6.7406
Ir 0.0000 0.0000 0.0000
```

## Properties
**Energy above the lowest structure with this stoichiometry**: 62.5 meV per atom
**Total moment**: 0.000 μB per formula unit
**Total DFT energy (no corrections)**: -37.105 eV per atom
**Energy of formation**: -0.087 eV per atom
**Calculated volume**: 16.6 Å³ per atom

---

No. 5
Computed, not measured: a crystal of ScAgIr2 relaxed with PBEsol at the meta-GGA SCAN level of DFT.

Geometry as extended XYZ:
```
4
Lattice="-2.8078 0.3775 0.2713 0.0313 -1.5036 2.4162 1.2682 6.5255 4.0445" Properties=species:S:1:pos:R:3 pbc="T T T"
Sc -1.3883 -0.5631 1.3438
Ir 0.9592 4.9355 3.0589
Ir 0.3090 1.5901 0.9855
Ag -0.7541 2.6997 3.3660
```

## Properties
**Total moment**: 0.000 μB per formula unit
**Total DFT energy (no corrections)**: -47.147 eV per atom
**Energy of formation**: -0.197 eV per atom
**Calculated volume**: 15.8 Å³ per atom

---

No. 6
Computed, not measured: a crystal of ScAg2Ir relaxed with PBEsol at the meta-GGA SCAN level of DFT.

Geometry as extended XYZ:
```
4
Lattice="-2.5902 0.2209 1.3769 -1.0507 -4.0106 -2.0829 1.8342 -2.4790 3.8481" Properties=species:S:1:pos:R:3 pbc="T T T"
Ir 0.3917 -3.2448 0.8826
Sc -0.3780 -1.1291 2.6125
Ag -2.7698 -2.8142 -0.4928
Ag -0.8711 -0.9755 -0.2132
```

## Properties
**Energy above the lowest structure with this stoichiometry**: 0.0 meV per atom
**Total moment**: 0.000 μB per formula unit
**Total DFT energy (no corrections)**: -37.167 eV per atom
**Energy of formation**: -0.150 eV per atom
**Calculated volume**: 16.8 Å³ per atom

---

No. 7
Computed, not measured: a crystal of SrSc2AgIr relaxed with PBEsol at the meta-GGA SCAN level of DFT.

Geometry as extended XYZ:
```
5
Lattice="4.9446 0.0000 0.0000 0.0000 4.9446 0.0000 0.0000 0.0000 5.7658" Properties=species:S:1:pos:R:3 pbc="T T T"
Ir 0.0000 0.0000 0.0000
Sc 2.4723 0.0000 0.0000
Sc 0.0000 2.4723 0.0000
Sr 0.0000 0.0000 2.8829
Ag 2.4723 2.4723 2.8829
```

## Properties
**Total moment**: 0.000 μB per formula unit
**Total DFT energy (no corrections)**: -30.833 eV per atom
**Energy of formation**: -0.190 eV per atom
**Calculated volume**: 28.2 Å³ per atom

---

No. 8
Computed, not measured: a crystal of AgIr2Se relaxed with PBEsol at the meta-GGA SCAN level of DFT.

Geometry as extended XYZ:
```
4
Lattice="2.7742 0.0000 0.0000 0.0000 4.7244 0.0000 0.0000 0.0000 4.7576" Properties=species:S:1:pos:R:3 pbc="T T T"
Ir 1.3871 0.0000 2.3788
Ir 0.0000 0.0000 0.0000
Se 1.3871 2.3622 0.0000
Ag 0.0000 2.3622 2.3788
```

## Properties
**Total moment**: 0.000 μB per formula unit
**Formation energy (no corrections)**: 0.6739 eV/atom
**Total DFT energy (no corrections)**: -47.737 eV per atom
**Calculated volume**: 15.6 Å³ per atom